Computed, not measured: a crystal of CdFe2HgTe relaxed with PBEsol at the meta-GGA SCAN level of DFT.

The structure belongs to space group P4/mmm (No. 123); the cell edges are 4.7075, 4.7075 and 5.5483 Å and the angles 90.00°, 90.00° and 90.00°. The distinct sites, in fractional coordinates, are Cd at (0.0000, 0.0000, 0.0000), Fe at (0.0000, 0.5000, 0.5000), Hg at (0.5000, 0.5000, 0.0000) and Te at (0.0000, 0.0000, 0.5000).

The total energy comes out at -33.50 eV/atom. As for the magnetization: 5.21 μB per formula unit. Its formation energy from raw total energies is 441 kJ/mol of formula units.

=====

Computed, not measured: a crystal of ScTl relaxed with PBEsol at the meta-GGA SCAN level of DFT.

The structure belongs to space group R-3m (No. 166, hexagonal axes); the cell edges are 3.4392, 3.4392 and 13.8544 Å and the angles 90.00°, 90.00° and 120.00°. The distinct sites, in fractional coordinates, are Sc at (0.0000, 0.0000, 0.0000) and Tl at (0.0000, 0.0000, 0.5000).

The total energy comes out at -43.66 eV/atom. As for the magnetization: 0.00 μB per formula unit. The energy of formation from the pure elements is -358 meV per atom.

=====

Computed, not measured: a crystal of NiAs3Pd relaxed with PBEsol at the meta-GGA SCAN level of DFT.

The structure belongs to space group Pm-3m (No. 221); the cell edges are 4.4983, 4.4983 and 4.4983 Å and the angles 90.00°, 90.00° and 90.00°. The distinct sites, in fractional coordinates, are Ni at (0.0000, 0.0000, 0.0000), As at (0.0000, 0.0000, 0.5000) and Pd at (0.5000, 0.5000, 0.5000).

The total energy comes out at -21.45 eV/atom. As for the magnetization: 0.00 μB per formula unit. The energy of formation from the pure elements is 457 meV per atom.

=====

Computed, not measured: a crystal of AlTl2Zn relaxed with PBEsol at the meta-GGA SCAN level of DFT.

The structure belongs to space group P4/mmm (No. 123); the cell edges are 3.2551, 3.2551 and 8.3863 Å and the angles 90.00°, 90.00° and 90.00°. The distinct sites, in fractional coordinates, are Al at (0.0000, 0.0000, 0.0000), Tl at (0.5000, 0.5000, 0.2586) and Zn at (0.0000, 0.0000, 0.5000).

The total energy comes out at -41.18 eV/atom. As for the magnetization: 0.00 μB per formula unit. The energy of formation from the pure elements is 316 meV per atom.

=====

Computed, not measured: a crystal of BaMg6Zn relaxed with PBEsol at the meta-GGA SCAN level of DFT.

The structure belongs to space group Amm2 (No. 38); the cell edges are 4.9252, 6.0890 and 14.1032 Å and the angles 90.00°, 90.00° and 90.00°. The distinct sites, in fractional coordinates, are Ba at (0.0000, 0.0000, 0.0000), Mg at (0.0000, 0.2396, 0.7310), Mg at (0.5000, 0.0000, 0.1689), Mg at (0.5000, 0.0000, 0.5828), Mg at (0.5000, 0.2457, 0.3658) and Zn at (0.0000, 0.0000, 0.3967).

The total energy comes out at -10.32 eV/atom. As for the magnetization: 0.00 μB per formula unit. The energy of formation from the pure elements is 44 meV per atom.

=====

Computed, not measured: a crystal of Nb2Bi2PbO9 relaxed with PBEsol at the meta-GGA SCAN level of DFT.

The structure belongs to space group I4/mmm (No. 139); the cell edges are 3.9307, 3.9307 and 24.5126 Å and the angles 90.00°, 90.00° and 90.00°. The distinct sites, in fractional coordinates, are Nb at (0.0000, 0.0000, 0.0884), Bi at (0.0000, 0.0000, 0.2993), Pb at (0.0000, 0.0000, 0.5000), O at (0.0000, 0.0000, 0.0000), O at (0.0000, 0.0000, 0.1656), O at (0.0000, 0.5000, 0.0802) and O at (0.0000, 0.5000, 0.2500).

The value obtained for the excess energy over the best structure of this formula in the dataset is 35.6 meV/atom. The total energy comes out at -27.35 eV/atom. As for the magnetization: 0.00 μB per formula unit. Its formation energy from raw total energies is -2668 kJ/mol of formula units.

=====

Computed, not measured: a crystal of FeSnTe2Br relaxed with PBEsol at the meta-GGA SCAN level of DFT.

The structure belongs to space group P4/mmm (No. 123); the cell edges are 4.9079, 4.9079 and 5.3571 Å and the angles 90.00°, 90.00° and 90.00°. The distinct sites, in fractional coordinates, are Fe at (0.0000, 0.0000, 0.0000), Sn at (0.0000, 0.0000, 0.5000), Te at (0.0000, 0.5000, 0.0000) and Br at (0.5000, 0.5000, 0.5000).

The total energy comes out at -29.49 eV/atom. As for the magnetization: 3.45 μB per formula unit. Its formation energy from raw total energies is 54 kJ/mol of formula units.

=====

Computed, not measured: a crystal of Ni2SbBr relaxed with PBEsol at the meta-GGA SCAN level of DFT.

The structure belongs to space group P4/mmm (No. 123); the cell edges are 3.2824, 3.2824 and 6.3067 Å and the angles 90.00°, 90.00° and 90.00°. The distinct sites, in fractional coordinates, are Ni at (0.0000, 0.0000, 0.2015), Sb at (0.5000, 0.5000, 0.0000) and Br at (0.5000, 0.5000, 0.5000).

The value obtained for the excess energy over the best structure of this formula in the dataset is 285.1 meV/atom. The total energy comes out at -21.93 eV/atom. As for the magnetization: 0.00 μB per formula unit. Its formation energy from raw total energies is 129 kJ/mol of formula units.